A geometry-optimized Cs2MgMnI6 structure. Source: Alexandria, functional PBE-GGA.

Raw total energy (eV/atom): -3.20
Space-group type: Fm-3m (225)
Polymorph energy (0 for the lowest one) (eV per atom): 0.0303
Energy relative to the elements, uncorrected (eV/atom): -1.026
Magnetization (μB per formula unit): 5.0

Cell and atoms, written as POSCAR:
```
Cs2MgMnI6
1.0
8.319 0.000 0.000
0.000 8.319 0.000
4.159 4.159 5.884
Cs I Mg Mn
2 6 1 1
Direct
0.750 0.250 0.500
0.250 0.750 0.500
0.248 0.248 0.504
0.752 0.752 0.496
0.248 0.248 0.000
0.752 0.752 0.000
0.752 0.248 0.000
0.248 0.752 0.000
0.500 0.500 0.000
0.000 0.000 0.000
```


A geometry-optimized MgCd2Sb2 structure. Source: Alexandria, functional PBE-GGA.

Raw total energy (eV/atom): -2.29
Space-group type: P4/mbm (127)
Polymorph energy (0 for the lowest one) (eV per atom): 0.0000
Energy relative to the elements, uncorrected (eV/atom): 0.040
Magnetization (μB per formula unit): 0.0

Cell and atoms, written as POSCAR:
```
MgCd2Sb2
1.0
-4.461 -6.264 2.225
4.379 -0.753 6.659
-2.618 2.579 2.013
Sb Mg Cd
4 2 4
Direct
0.322 0.822 0.000
0.822 0.678 0.000
0.678 0.178 0.000
0.178 0.322 0.000
0.000 0.000 0.000
0.500 0.500 0.000
0.131 0.631 0.500
0.631 0.869 0.500
0.869 0.369 0.500
0.369 0.131 0.500
```


A geometry-optimized TaTi2Be structure. Source: Alexandria, functional PBE-GGA.

Raw total energy (eV/atom): -7.71
Space-group type: Fm-3m (225)
Energy relative to the elements (eV/atom): 0.1301
Polymorph energy (0 for the lowest one) (eV per atom): 0.1221
Magnetization (μB per formula unit): 0.0

Cell and atoms, written as POSCAR:
```
TaTi2Be
1.0
0.000 3.138 3.138
3.138 0.000 3.138
3.138 3.138 0.000
Be Ti Ta
1 2 1
Direct
0.000 0.000 0.000
0.250 0.250 0.250
0.750 0.750 0.750
0.500 0.500 0.500
```


A geometry-optimized In2GaBr6 structure. Source: Alexandria, functional PBE-GGA.

Raw total energy (eV/atom): -2.77
Space-group type: C2/c (15)
Polymorph energy (0 for the lowest one) (eV per atom): 0.0000
Energy relative to the elements, uncorrected (eV/atom): -0.715
Magnetization (μB per formula unit): 0.0

Cell and atoms, written as POSCAR:
```
In2GaBr6
1.0
10.162 -0.288 5.354
5.096 8.659 2.102
0.566 0.228 10.247
In Ga Br
4 2 12
Direct
0.487 0.402 0.347
0.013 0.653 0.598
0.513 0.598 0.653
0.987 0.347 0.402
0.250 0.870 0.130
0.750 0.130 0.870
0.737 0.377 0.373
0.763 0.627 0.623
0.263 0.623 0.627
0.237 0.373 0.377
0.979 0.130 0.663
0.521 0.337 0.870
0.021 0.870 0.337
0.479 0.663 0.130
0.756 0.140 0.094
0.744 0.906 0.860
0.244 0.860 0.906
0.256 0.094 0.140
```


A geometry-optimized LiAsIBr2 structure. Source: Alexandria, functional PBE-GGA.

Raw total energy (eV/atom): -2.06
Space-group type: P4/mmm (123)
Polymorph energy (0 for the lowest one) (eV per atom): 0.2825
Energy relative to the elements, uncorrected (eV/atom): 0.232
Magnetization (μB per formula unit): 0.0

Cell and atoms, written as POSCAR:
```
LiAsIBr2
1.0
-5.900 -1.176 -2.127
-0.153 -5.394 3.405
-1.976 2.607 4.040
I As Br Li
1 1 2 1
Direct
0.000 0.000 0.000
0.000 0.000 0.500
0.000 0.500 0.000
0.500 0.000 0.000
0.500 0.500 0.500
```


A geometry-optimized NaCa2Cu2 structure. Source: Alexandria, functional PBE-GGA.

Raw total energy (eV/atom): -2.63
Space-group type: I4/mmm (139)
Energy relative to the elements (eV/atom): 0.0716
Polymorph energy (0 for the lowest one) (eV per atom): 0.1179
Magnetization (μB per formula unit): 0.0

Cell and atoms, written as POSCAR:
```
NaCa2Cu2
1.0
3.562 0.000 0.000
0.000 3.562 0.000
1.781 1.781 10.688
Na Ca Cu
1 2 2
Direct
0.000 0.000 0.000
0.362 0.362 0.276
0.638 0.638 0.724
0.750 0.250 0.500
0.250 0.750 0.500
```


A geometry-optimized Tl3RhCl structure. Source: Alexandria, functional PBE-GGA.

Raw total energy (eV/atom): -2.66
Space-group type: Pm-3m (221)
Polymorph energy (0 for the lowest one) (eV per atom): 0.9759
Energy relative to the elements, uncorrected (eV/atom): 0.598
Magnetization (μB per formula unit): 1.2

Cell and atoms, written as POSCAR:
```
Tl3RhCl
1.0
5.732 0.000 0.000
0.000 5.732 0.000
0.000 0.000 5.732
Tl Rh Cl
3 1 1
Direct
0.000 0.500 0.000
0.000 0.000 0.500
0.500 0.000 0.000
0.500 0.500 0.500
0.000 0.000 0.000
```


A geometry-optimized SbPd3Rh structure. Source: Alexandria, functional PBE-GGA.

Raw total energy (eV/atom): -4.50
Space-group type: Pm-3m (221)
Energy relative to the elements, uncorrected (eV/atom): 0.913
Magnetization (μB per formula unit): 2.2

Cell and atoms, written as POSCAR:
```
SbPd3Rh
1.0
4.817 0.000 0.000
0.000 4.817 0.000
0.000 0.000 4.817
Sb Rh Pd
1 1 3
Direct
0.500 0.500 0.500
0.000 0.000 0.000
0.000 0.500 0.000
0.000 0.000 0.500
0.500 0.000 0.000
```